(1)
# PBE PrHoTm4, optimized geometry
data_PrHoTm4
_chemical_formula_sum 'Pr2 Ho2 Tm8'
_space_group_name_H-M_alt 'P 1'
_space_group_IT_number 1
_space_group_name_Hall 'P 1'
_cell_length_a 8.514
_cell_length_b 8.514
_cell_length_c 6.506
_cell_angle_alpha 101.42
_cell_angle_beta 101.42
_cell_angle_gamma 118.26
loop_
_atom_site_label
_atom_site_type_symbol
_atom_site_fract_x
_atom_site_fract_y
_atom_site_fract_z
Pr1 Pr 0.011 0.989 0.750
Pr2 Pr 0.989 0.011 0.250
Ho1 Ho 0.414 0.586 0.750
Ho2 Ho 0.586 0.414 0.250
Tm1 Tm 0.111 0.709 0.456
Tm2 Tm 0.174 0.428 0.110
Tm3 Tm 0.291 0.889 0.044
Tm4 Tm 0.428 0.174 0.610
Tm5 Tm 0.572 0.826 0.390
Tm6 Tm 0.709 0.111 0.956
Tm7 Tm 0.826 0.572 0.890
Tm8 Tm 0.889 0.291 0.544
# calculated volume = 383 Å³/cell
# energy relative to the lowest polymorph listed for this composition = 138.4 meV/atom
# total DFT energy (no corrections) = -52.49 eV for the cell shown
# E_form = 1.00 eV per formula unit
# calculated density = 8.5 g cm⁻³



(2)
# PBE PrHo5Tm6, optimized geometry
data_PrHo5Tm6
_chemical_formula_sum 'Pr1 Ho5 Tm6'
_space_group_name_H-M_alt 'P 1'
_space_group_IT_number 1
_space_group_name_Hall 'P 1'
_cell_length_a 6.096
_cell_length_b 6.096
_cell_length_c 11.655
_cell_angle_alpha 95.00
_cell_angle_beta 95.00
_cell_angle_gamma 119.96
loop_
_atom_site_label
_atom_site_type_symbol
_atom_site_fract_x
_atom_site_fract_y
_atom_site_fract_z
Pr1 Pr 0.000 0.000 0.000
Ho1 Ho 0.167 0.833 0.500
Ho2 Ho 0.333 0.667 0.000
Ho3 Ho 0.500 0.500 0.500
Ho4 Ho 0.667 0.333 0.000
Ho5 Ho 0.833 0.167 0.500
Tm1 Tm 0.084 0.418 0.252
Tm2 Tm 0.251 0.251 0.748
Tm3 Tm 0.418 0.084 0.252
Tm4 Tm 0.582 0.916 0.748
Tm5 Tm 0.749 0.749 0.252
Tm6 Tm 0.916 0.582 0.748
# calculated volume = 370 Å³/cell
# total DFT energy (no corrections) = -54.21 eV for the cell shown
# E_form = 0.29 eV per formula unit
# calculated density = 8.9 g cm⁻³



(3)
# PBE PrHo4Tm4, optimized geometry
data_PrHo4Tm4
_chemical_formula_sum 'Pr1 Ho4 Tm4'
_space_group_name_H-M_alt 'P 1'
_space_group_IT_number 1
_space_group_name_Hall 'P 1'
_cell_length_a 5.596
_cell_length_b 6.899
_cell_length_c 8.324
_cell_angle_alpha 100.35
_cell_angle_beta 109.58
_cell_angle_gamma 90.03
loop_
_atom_site_label
_atom_site_type_symbol
_atom_site_fract_x
_atom_site_fract_y
_atom_site_fract_z
Pr1 Pr 0.000 0.000 0.000
Ho1 Ho 0.183 0.468 0.365
Ho2 Ho 0.382 0.809 0.764
Ho3 Ho 0.618 0.191 0.236
Ho4 Ho 0.817 0.532 0.635
Tm1 Tm 0.202 0.984 0.403
Tm2 Tm 0.398 0.299 0.797
Tm3 Tm 0.602 0.701 0.203
Tm4 Tm 0.798 0.016 0.597
# calculated volume = 297 Å³/cell
# energy relative to the lowest polymorph listed for this composition = 153.5 meV/atom
# total DFT energy (no corrections) = -39.36 eV for the cell shown
# E_form = 1.62 eV per formula unit
# calculated density = 8.2 g cm⁻³



(4)
# PBE Pr5Ho2Tm4, optimized geometry
data_Pr5Ho2Tm4
_chemical_formula_sum 'Pr5 Ho2 Tm4'
_space_group_name_H-M_alt 'P 1'
_space_group_IT_number 1
_space_group_name_Hall 'P 1'
_cell_length_a 9.012
_cell_length_b 9.012
_cell_length_c 11.642
_cell_angle_alpha 93.88
_cell_angle_beta 93.88
_cell_angle_gamma 22.73
loop_
_atom_site_label
_atom_site_type_symbol
_atom_site_fract_x
_atom_site_fract_y
_atom_site_fract_z
Pr1 Pr 0.000 0.000 0.000
Pr2 Pr 0.323 0.323 0.929
Pr3 Pr 0.403 0.403 0.465
Pr4 Pr 0.597 0.597 0.535
Pr5 Pr 0.677 0.677 0.071
Ho1 Ho 0.216 0.216 0.351
Ho2 Ho 0.784 0.784 0.649
Tm1 Tm 0.140 0.140 0.795
Tm2 Tm 0.465 0.465 0.740
Tm3 Tm 0.535 0.535 0.260
Tm4 Tm 0.860 0.860 0.205
# calculated volume = 365 Å³/cell
# energy relative to the lowest polymorph listed for this composition = 0.0 meV/atom
# total DFT energy (no corrections) = -50.07 eV for the cell shown
# E_form = 0.87 eV per formula unit
# calculated density = 7.8 g cm⁻³



(5)
# PBE Pr4HoTm7, optimized geometry
data_Pr4HoTm7
_chemical_formula_sum 'Pr4 Ho1 Tm7'
_space_group_name_H-M_alt 'P 1'
_space_group_IT_number 1
_space_group_name_Hall 'P 1'
_cell_length_a 7.122
_cell_length_b 7.963
_cell_length_c 7.971
_cell_angle_alpha 95.89
_cell_angle_beta 116.36
_cell_angle_gamma 102.72
loop_
_atom_site_label
_atom_site_type_symbol
_atom_site_fract_x
_atom_site_fract_y
_atom_site_fract_z
Pr1 Pr 0.001 0.331 0.335
Pr2 Pr 0.252 0.668 0.170
Pr3 Pr 0.748 0.332 0.830
Pr4 Pr 0.999 0.669 0.665
Ho1 Ho 0.500 0.000 0.000
Tm1 Tm 0.000 0.000 0.000
Tm2 Tm 0.249 0.999 0.499
Tm3 Tm 0.250 0.331 0.835
Tm4 Tm 0.497 0.330 0.330
Tm5 Tm 0.503 0.670 0.670
Tm6 Tm 0.750 0.669 0.165
Tm7 Tm 0.751 0.001 0.501
# calculated volume = 385 Å³/cell
# energy relative to the lowest polymorph listed for this composition = 0.0 meV/atom
# total DFT energy (no corrections) = -54.67 eV for the cell shown
# E_form = 0.33 eV per formula unit
# calculated density = 8.3 g cm⁻³



(6)
# PBE Pr2Ho8Tm, optimized geometry
data_Pr2Ho8Tm
_chemical_formula_sum 'Pr2 Ho8 Tm1'
_space_group_name_H-M_alt 'P 1'
_space_group_IT_number 1
_space_group_name_Hall 'P 1'
_cell_length_a 8.874
_cell_length_b 8.874
_cell_length_c 6.673
_cell_angle_alpha 99.70
_cell_angle_beta 99.70
_cell_angle_gamma 43.79
loop_
_atom_site_label
_atom_site_type_symbol
_atom_site_fract_x
_atom_site_fract_y
_atom_site_fract_z
Pr1 Pr 0.245 0.245 0.312
Pr2 Pr 0.755 0.755 0.688
Ho1 Ho 0.175 0.655 0.602
Ho2 Ho 0.196 0.196 0.802
Ho3 Ho 0.345 0.825 0.398
Ho4 Ho 0.411 0.411 0.092
Ho5 Ho 0.589 0.589 0.908
Ho6 Ho 0.655 0.175 0.602
Ho7 Ho 0.804 0.804 0.198
Ho8 Ho 0.825 0.345 0.398
Tm1 Tm 0.000 0.000 0.000
# calculated volume = 358 Å³/cell
# energy relative to the lowest polymorph listed for this composition = 13.4 meV/atom
# total DFT energy (no corrections) = -48.75 eV for the cell shown
# E_form = 1.91 eV per formula unit
# calculated density = 8.2 g cm⁻³



(7)
# PBE Pr3Ho2Tm3, optimized geometry
data_Pr3Ho2Tm3
_chemical_formula_sum 'Pr6 Ho4 Tm6'
_space_group_name_H-M_alt 'P 1'
_space_group_IT_number 1
_space_group_name_Hall 'P 1'
_cell_length_a 6.514
_cell_length_b 6.514
_cell_length_c 16.443
_cell_angle_alpha 90.00
_cell_angle_beta 90.00
_cell_angle_gamma 129.95
loop_
_atom_site_label
_atom_site_type_symbol
_atom_site_fract_x
_atom_site_fract_y
_atom_site_fract_z
Pr1 Pr 0.036 0.964 0.750
Pr2 Pr 0.118 0.882 0.052
Pr3 Pr 0.118 0.882 0.448
Pr4 Pr 0.882 0.118 0.552
Pr5 Pr 0.882 0.118 0.948
Pr6 Pr 0.964 0.036 0.250
Ho1 Ho 0.273 0.727 0.635
Ho2 Ho 0.273 0.727 0.865
Ho3 Ho 0.727 0.273 0.135
Ho4 Ho 0.727 0.273 0.365
Tm1 Tm 0.244 0.756 0.250
Tm2 Tm 0.423 0.577 0.089
Tm3 Tm 0.423 0.577 0.411
Tm4 Tm 0.577 0.423 0.589
Tm5 Tm 0.577 0.423 0.911
Tm6 Tm 0.756 0.244 0.750
# calculated volume = 535 Å³/cell
# energy relative to the lowest polymorph listed for this composition = 54.1 meV/atom
# total DFT energy (no corrections) = -71.52 eV for the cell shown
# E_form = 1.15 eV per formula unit
# calculated density = 7.8 g cm⁻³



(8)
# PBE PrHo4Tm, optimized geometry
data_PrHo4Tm
_chemical_formula_sum 'Pr1 Ho4 Tm1'
_space_group_name_H-M_alt 'P 1'
_space_group_IT_number 1
_space_group_name_Hall 'P 1'
_cell_length_a 4.541
_cell_length_b 4.541
_cell_length_c 10.923
_cell_angle_alpha 90.00
_cell_angle_beta 90.00
_cell_angle_gamma 90.00
loop_
_atom_site_label
_atom_site_type_symbol
_atom_site_fract_x
_atom_site_fract_y
_atom_site_fract_z
Pr1 Pr 0.000 0.000 0.000
Ho1 Ho 0.000 0.500 0.257
Ho2 Ho 0.000 0.500 0.743
Ho3 Ho 0.500 0.000 0.257
Ho4 Ho 0.500 0.000 0.743
Tm1 Tm 0.500 0.500 0.500
# calculated volume = 225 Å³/cell
# energy relative to the lowest polymorph listed for this composition = 394.6 meV/atom
# total DFT energy (no corrections) = -23.99 eV for the cell shown
# E_form = 3.57 eV per formula unit
# calculated density = 7.1 g cm⁻³